This record from Alexandria via LeMat-Bulk describes an optimized crystal structure of Mn2Tl2CrO6. The functional is PBE+U.

Cell: 5.3919 9.0051 6.7424 Å, 90.00 105.32 90.00°
Last column: nearest neighbours and their distance in Å.
Space group C2/m (No. 12)
One atom of each set of equivalent atoms:
Mn (0.0000, 0.1655, 0.0000) x4  6 O 1.98-2.11
Tl (0.0000, 0.3307, 0.5000) x4  6 O 2.82-2.89, 3 Tl 3.05-3.06
Cr (0.0000, 0.5000, 0.0000) x2  6 O 2.04-2.05
O (0.2089, 0.3281, 0.1572) x8  2 Mn 1.98-2.11, 1 Cr 2.04
O (0.2140, 0.0000, 0.1492) x4  2 Mn 1.99, 1 Cr 2.05

Summary:
- Fermi-level density of states: 0.248 states/eV/atom
- Raw total energy: -71.5 eV per formula unit